[1]
A relaxed structure of Y2CdP3Rh12. Source: Alexandria via LeMat-Bulk, functional GGA-PBE.

* SG: R-3m, No. 166
* ΔE_f: -0.2532 eV/atom
* magnetic moment: 0.00 μB per formula unit

CIF file:
```
data_Y2CdP3Rh12
_cell_length_a 6.699
_cell_length_b 6.699
_cell_length_c 6.699
_cell_angle_alpha 83.71
_cell_angle_beta 83.71
_cell_angle_gamma 83.71
_space_group_name_H-M_alt 'P 1'
_space_group_IT_number 1
loop_
_space_group_symop_operation_xyz
'x,y,z'
loop_
_atom_site_label
_atom_site_type_symbol
_atom_site_fract_x
_atom_site_fract_y
_atom_site_fract_z
_atom_site_occupancy
Y1 Y 0.128 0.128 0.128 1
Y2 Y 0.872 0.872 0.872 1
Cd1 Cd 0.500 0.500 0.500 1
P1 P 0.000 0.500 0.500 1
P2 P 0.500 0.000 0.500 1
P3 P 0.500 0.500 0.000 1
Rh1 Rh 0.130 0.130 0.595 1
Rh2 Rh 0.130 0.595 0.130 1
Rh3 Rh 0.165 0.676 0.676 1
Rh4 Rh 0.324 0.324 0.835 1
Rh5 Rh 0.324 0.835 0.324 1
Rh6 Rh 0.405 0.870 0.870 1
Rh7 Rh 0.595 0.130 0.130 1
Rh8 Rh 0.676 0.165 0.676 1
Rh9 Rh 0.676 0.676 0.165 1
Rh10 Rh 0.835 0.324 0.324 1
Rh11 Rh 0.870 0.405 0.870 1
Rh12 Rh 0.870 0.870 0.405 1
```

=====

[2]
A relaxed structure of Pr3Tm2Sc. Source: Alexandria via LeMat-Bulk, functional GGA-PBE.

* SG: P-1, No. 2
* energy above the most stable polymorph in this dataset: 0.0024 eV per atom
* ΔE_f: 0.0463 eV/atom
* magnetic moment: 0.00 μB per formula unit

CIF file:
```
data_Pr3Tm2Sc
_cell_length_a 6.174
_cell_length_b 7.949
_cell_length_c 8.764
_cell_angle_alpha 68.20
_cell_angle_beta 89.48
_cell_angle_gamma 74.77
_space_group_name_H-M_alt 'P 1'
_space_group_IT_number 1
loop_
_space_group_symop_operation_xyz
'x,y,z'
loop_
_atom_site_label
_atom_site_type_symbol
_atom_site_fract_x
_atom_site_fract_y
_atom_site_fract_z
_atom_site_occupancy
Pr1 Pr 0.040 0.138 0.285 1
Pr2 Pr 0.293 0.873 0.043 1
Pr3 Pr 0.372 0.129 0.625 1
Pr4 Pr 0.628 0.871 0.375 1
Pr5 Pr 0.707 0.127 0.957 1
Pr6 Pr 0.960 0.862 0.715 1
Tm1 Tm 0.208 0.618 0.462 1
Tm2 Tm 0.453 0.385 0.204 1
Tm3 Tm 0.547 0.615 0.796 1
Tm4 Tm 0.792 0.382 0.538 1
Sc1 Sc 0.122 0.382 0.875 1
Sc2 Sc 0.878 0.618 0.125 1
```

=====

[3]
A relaxed structure of CaGaNi2N. Source: Alexandria via LeMat-Bulk, functional GGA-PBE.

* raw formation energy: -0.30 eV per formula unit
* SG: P4/mmm, No. 123
* magnetic moment: 0.01 μB per formula unit

CIF file:
```
data_CaGaNi2N
_cell_length_a 3.925
_cell_length_b 3.925
_cell_length_c 4.648
_cell_angle_alpha 90.00
_cell_angle_beta 90.00
_cell_angle_gamma 90.00
_space_group_name_H-M_alt 'P 1'
_space_group_IT_number 1
loop_
_space_group_symop_operation_xyz
'x,y,z'
loop_
_atom_site_label
_atom_site_type_symbol
_atom_site_fract_x
_atom_site_fract_y
_atom_site_fract_z
_atom_site_occupancy
Ca1 Ca 0.000 0.000 0.000 1
Ga1 Ga 0.500 0.500 0.000 1
Ni1 Ni 0.000 0.500 0.500 1
Ni2 Ni 0.500 0.000 0.500 1
N1 N 0.000 0.000 0.500 1
```

=====

[4]
A relaxed structure of Nd7ErCd4. Source: Alexandria via LeMat-Bulk, functional GGA-PBE.

* SG: C2/m, No. 12
* ΔE_f: -0.0249 eV/atom
* magnetic moment: 0.00 μB per formula unit

CIF file:
```
data_Nd7ErCd4
_cell_length_a 8.087
_cell_length_b 8.087
_cell_length_c 9.988
_cell_angle_alpha 119.60
_cell_angle_beta 119.60
_cell_angle_gamma 42.52
_space_group_name_H-M_alt 'P 1'
_space_group_IT_number 1
loop_
_space_group_symop_operation_xyz
'x,y,z'
loop_
_atom_site_label
_atom_site_type_symbol
_atom_site_fract_x
_atom_site_fract_y
_atom_site_fract_z
_atom_site_occupancy
Nd1 Nd 0.000 0.000 0.000 1
Nd2 Nd 0.238 0.238 0.695 1
Nd3 Nd 0.296 0.296 0.116 1
Nd4 Nd 0.430 0.430 0.592 1
Nd5 Nd 0.570 0.570 0.408 1
Nd6 Nd 0.704 0.704 0.884 1
Nd7 Nd 0.762 0.762 0.305 1
Er1 Er 0.500 0.500 0.000 1
Cd1 Cd 0.041 0.041 0.712 1
Cd2 Cd 0.181 0.181 0.343 1
Cd3 Cd 0.819 0.819 0.657 1
Cd4 Cd 0.959 0.959 0.288 1
```